First-principles (PBE-GGA) data for crystalline Sr3Hg at its relaxed geometry, as listed in Alexandria.

Output
Spin magnetization: 0.000 μB per atom
DOS(E_F): 2.4 states/eV/f.u.
Energy of formation from the pure elements: -0.21 eV/f.u.
Total DFT energy (no corrections): -1.390 eV/atom

abc: 7.123 7.123 7.123
angles: 116.45 116.45 116.45
Atoms (fractional coordinates):
Hg: 0.000 0.000 0.000
Sr: 0.500 0.500 0.000
Sr: 0.000 0.500 0.500
Sr: 0.500 0.000 0.500